The following is a DFT calculation (PBE) of a relaxed Ac2Zn6CoRu crystal.

**Uncorrected energy**: -68.402 eV per cell
**Calculated formation energy**: -196 meV per atom

Unit cell a=11.3559 b=6.7209 c=6.6110 alpha=90.00 beta=123.89 gamma=90.00
Space group C2/m (No. 12)
Asymmetric unit:
1 Ac 0.2022 0.0000 0.2972 [4 per cell]
2 Zn 0.0411 0.2970 0.7546 [8 per cell]
3 Zn 0.2449 0.5000 0.1628 [4 per cell]
4 Co 0.0000 0.5000 0.0000 [2 per cell]
5 Ru 0.0000 0.0000 0.5000 [2 per cell]

---

The following is a DFT calculation (PBE) of a relaxed KPNO2 crystal.

**Energy relative to the elements, uncorrected**: 1988 meV per atom
**Uncorrected energy**: -14.809 eV per cell

Unit cell a=4.8577 b=4.8577 c=5.2550 alpha=90.00 beta=90.00 gamma=90.00
Space group P4/mmm (No. 123)
Asymmetric unit:
1 K 0.0000 0.0000 0.0000 [1 per cell]
2 P 0.5000 0.5000 0.5000 [1 per cell]
3 N 0.0000 0.0000 0.5000 [1 per cell]
4 O 0.0000 0.5000 0.0000 [2 per cell]

---

The following is a DFT calculation (PBE) of a relaxed Rb2Np2Te5 crystal.

**Energy relative to the elements, uncorrected**: -796 meV per atom
**Uncorrected energy**: -202.740 eV per cell

Unit cell a=18.0105 b=8.4648 c=8.4735 alpha=90.00 beta=90.00 gamma=90.00
Space group Cmce (No. 64)
Asymmetric unit:
1 Rb 0.2062 0.0000 0.0000 [8 per cell]
2 Np 0.0000 0.1539 0.3462 [8 per cell]
3 Te 0.0000 0.0000 0.0000 [4 per cell]
4 Te 0.1104 0.1472 0.6472 [16 per cell]

---

The following is a DFT calculation (PBE) of a relaxed Pr2PaSi3Pt4 crystal.

**Energy relative to the elements, uncorrected**: -979 meV per atom
**Uncorrected energy**: -69.275 eV per cell

Unit cell a=4.3072 b=4.3072 c=10.8594 alpha=90.00 beta=90.00 gamma=90.00
Space group P-4m2 (No. 115)
Asymmetric unit:
1 Pr 0.0000 0.5000 0.2268 [2 per cell]
2 Pa 0.0000 0.0000 0.5000 [1 per cell]
3 Si 0.0000 0.5000 0.8835 [2 per cell]
4 Si 0.5000 0.5000 0.5000 [1 per cell]
5 Pt 0.0000 0.0000 0.0000 [1 per cell]
6 Pt 0.0000 0.5000 0.6617 [2 per cell]
7 Pt 0.5000 0.5000 0.0000 [1 per cell]

---

The following is a DFT calculation (PBE) of a relaxed Ho12Er7Zr crystal.

**Relative energy among the computed polymorphs**: 0.533 eV/atom
**Uncorrected energy**: -158.831 eV per cell
**Calculated formation energy**: 800 meV per atom

Unit cell a=11.2782 b=11.2782 c=11.2782 alpha=90.00 beta=90.00 gamma=90.00
Space group Im-3m (No. 229)
Asymmetric unit:
1 Ho 0.0000 0.2193 0.2193 [24 per cell]
2 Er 0.0000 0.0000 0.5000 [6 per cell]
3 Er 0.2500 0.2500 0.2500 [8 per cell]
4 Zr 0.0000 0.0000 0.0000 [2 per cell]

---

The following is a DFT calculation (PBE) of a relaxed Ac2Zn3InGa4 crystal.

**Uncorrected energy**: -31.463 eV per cell
**Calculated formation energy**: -458 meV per atom

Unit cell a=4.5143 b=4.5143 c=10.8482 alpha=90.00 beta=90.00 gamma=90.00
Space group P-4m2 (No. 115)
Asymmetric unit:
1 Ac 0.0000 0.5000 0.2414 [2 per cell]
2 Zn 0.0000 0.5000 0.8767 [2 per cell]
3 Zn 0.5000 0.5000 0.5000 [1 per cell]
4 In 0.0000 0.0000 0.5000 [1 per cell]
5 Ga 0.0000 0.0000 0.0000 [1 per cell]
6 Ga 0.0000 0.5000 0.6446 [2 per cell]
7 Ga 0.5000 0.5000 0.0000 [1 per cell]

---

The following is a DFT calculation (PBE) of a relaxed CuAgOs2W crystal.

**Uncorrected energy**: -32.631 eV per cell
**Calculated formation energy**: 1946 meV per atom

Unit cell a=4.7148 b=4.7148 c=4.7457 alpha=90.00 beta=90.00 gamma=90.00
Space group P4/mmm (No. 123)
Asymmetric unit:
1 Cu 0.0000 0.0000 0.0000 [1 per cell]
2 Ag 0.5000 0.5000 0.0000 [1 per cell]
3 Os 0.0000 0.5000 0.5000 [2 per cell]
4 W 0.0000 0.0000 0.5000 [1 per cell]

---

The lowest uncorrected energy belongs to which entry? Rb2Np2Te5

---

Look up the uncorrected energy of the sixth one. -31.463 eV per cell

---

Which of these has the lowest uncorrected energy? Rb2Np2Te5

---

What is the formula in the fourth record? Pr2PaSi3Pt4